Zn2Tc2P (PBE, relaxed); density of states at the Fermi level = 0.952 states/eV per atom; ΔH_f (0 K) = -2.89 kcal/mol of atoms; space-group type = No. 127
1.0
6.0334 0.0000 0.0000
0.0000 6.0334 0.0000
0.0000 0.0000 4.1924
Tc Zn P
4 4 2
Direct
0.8495 0.6505 0.0000 Tc
0.1505 0.3495 0.0000 Tc
0.6505 0.1505 0.0000 Tc
0.3495 0.8495 0.0000 Tc
0.8442 0.3442 0.5000 Zn
0.6558 0.8442 0.5000 Zn
0.3442 0.1558 0.5000 Zn
0.1558 0.6558 0.5000 Zn
0.0000 0.0000 0.0000 P
0.5000 0.5000 0.0000 P


Zn2TcP (PBE, relaxed); density of states at the Fermi level = 0.806 states/eV per atom; ΔH_f (0 K) = 2.52 kcal/mol of atoms; space-group type = No. 65
1.0
2.3965 -3.9012 0.0000
2.3965 3.9012 0.0000
0.0000 0.0000 3.1154
Zn Tc P
2 1 1
Direct
0.0000 0.5000 0.0000 Zn
0.5000 0.0000 0.0000 Zn
0.5000 0.5000 0.5000 Tc
0.0000 0.0000 0.5000 P


ZnTc2P (PBE, relaxed); density of states at the Fermi level = 0.418 states/eV per atom; E above lowest polymorph = 0.054 eV/atom; ΔH_f (0 K) = -2.27 kcal/mol of atoms; space-group type = No. 166
1.0
7.9191 -1.4391 0.0021
7.9191 1.4391 0.0021
7.6569 0.0000 2.4809
P Tc Zn
1 2 1
Direct
0.0000 0.0000 0.0000 P
0.2588 0.2588 0.2588 Tc
0.7412 0.7412 0.7412 Tc
0.5000 0.5000 0.5000 Zn